Here is an optimized crystal structure of Eu2MgSe4 from Alexandria via LeMat-Bulk. Energies are from PBE.

Lattice parameters (Å, degrees): 8.4405 8.4405 8.4405 60.00 60.00 60.00
Last column: nearest neighbours and their distance in Å.
Fractional coordinates of all 14 atoms:
Se1 0.8729 0.3813 0.8729  1 Mg 2.63
Se2 0.8729 0.8729 0.3813  1 Mg 2.63
Se3 0.3813 0.8729 0.8729  1 Mg 2.63
Se4 0.8729 0.8729 0.8729  1 Mg 2.63
Se5 0.8687 0.3771 0.3771  1 Mg 2.63
Se6 0.3771 0.3771 0.8687  1 Mg 2.63
Se7 0.3771 0.3771 0.3771  1 Mg 2.63
Se8 0.3771 0.8687 0.3771  1 Mg 2.63
Mg1 0.2500 0.2500 0.2500  4 Se 2.63
Mg2 0.0000 0.0000 0.0000  4 Se 2.63
Eu1 0.6250 0.6250 0.1250  6 Se 2.96
Eu2 0.6250 0.6250 0.6250  6 Se 2.96
Eu3 0.6250 0.1250 0.6250  6 Se 2.96
Eu4 0.1250 0.6250 0.6250  6 Se 2.96

Properties
The calculation puts the calculated volume at 425 Å³/cell. The calculation puts the energy above the lowest structure with this stoichiometry at 0.004 eV/atom. Its total energy is -91.6 eV per cell.

---

Here is an optimized crystal structure of EuMgSi from Alexandria via LeMat-Bulk. Energies are from PBE.

Lattice parameters (Å, degrees): 4.4907 7.5734 8.4016 90.00 90.00 90.00
Last column: nearest neighbours and their distance in Å.
Fractional coordinates of all 12 atoms:
Mg1 0.7500 0.3541 0.9362  4 Si 2.76-2.88
Mg2 0.2500 0.6459 0.0638  4 Si 2.76-2.88
Mg3 0.7500 0.8541 0.5638  4 Si 2.76-2.88
Mg4 0.2500 0.1459 0.4362  4 Si 2.76-2.88
Eu1 0.7500 0.9824 0.1824  5 Si 3.16-3.23, 6 Mg 3.33-3.54
Eu2 0.2500 0.0176 0.8176  5 Si 3.16-3.23, 6 Mg 3.33-3.54
Eu3 0.2500 0.5176 0.6824  5 Si 3.16-3.23, 6 Mg 3.33-3.54
Eu4 0.7500 0.4824 0.3176  5 Si 3.16-3.23, 6 Mg 3.33-3.54
Si1 0.7500 0.2243 0.6136  4 Mg 2.76-2.88
Si2 0.2500 0.7757 0.3864  4 Mg 2.76-2.88
Si3 0.2500 0.2757 0.1136  4 Mg 2.76-2.88
Si4 0.7500 0.7243 0.8864  4 Mg 2.76-2.88

Properties
The calculation puts the calculated volume at 286 Å³/cell. Its total energy is -74.6 eV per cell.

---

Here is an optimized crystal structure of EuMgSi from Alexandria via LeMat-Bulk. Energies are from PBE.

Lattice parameters (Å, degrees): 4.1342 4.5664 4.5664 120.00 90.00 90.00
Last column: nearest neighbours and their distance in Å.
Fractional coordinates of all 3 atoms:
Si1 0.1668 0.0000 0.0000  3 Mg 2.64
Eu1 0.6666 0.6667 0.3333  6 Si 3.35, 6 Mg 3.35
Mg1 0.1666 0.3333 0.6667  3 Si 2.64

Properties
The calculation puts the calculated volume at 75 Å³/cell. Its total energy is -18.2 eV per cell.

---

Here is an optimized crystal structure of Eu3Mg5Si5 from Alexandria via LeMat-Bulk. Energies are from PBE.

Lattice parameters (Å, degrees): 4.4472 14.2761 18.1571 90.00 90.00 90.00
Last column: nearest neighbours and their distance in Å.
Fractional coordinates of all 52 atoms:
Mg1 0.2500 0.5370 0.1883  4 Si 2.75-2.76, 1 Mg 2.91
Mg2 0.7500 0.0223 0.4397  4 Si 2.67-2.78
Mg3 0.7500 0.4630 0.8117  4 Si 2.75-2.76, 1 Mg 2.91
Mg4 0.2500 0.0370 0.3117  4 Si 2.75-2.76, 1 Mg 2.91
Mg5 0.7500 0.0532 0.9572  4 Si 2.70-2.76
Mg6 0.2500 0.2348 0.2733  4 Si 2.72-2.83, 1 Mg 2.91
Mg7 0.7500 0.8364 0.1274  4 Si 2.72-2.78
Mg8 0.7500 0.9630 0.6883  4 Si 2.75-2.76, 1 Mg 2.91
Mg9 0.2500 0.7348 0.2267  4 Si 2.72-2.83, 1 Mg 2.91
Mg10 0.7500 0.5532 0.5428  4 Si 2.70-2.76
Mg11 0.7500 0.2652 0.7733  4 Si 2.72-2.83, 1 Mg 2.91
Mg12 0.2500 0.4777 0.9397  4 Si 2.67-2.78
Mg13 0.2500 0.1636 0.8726  4 Si 2.72-2.78
Mg14 0.7500 0.7652 0.7267  4 Si 2.72-2.83, 1 Mg 2.91
Mg15 0.2500 0.9777 0.5603  4 Si 2.67-2.78
Mg16 0.2500 0.9468 0.0428  4 Si 2.70-2.76
Mg17 0.2500 0.4468 0.4572  4 Si 2.70-2.76
Mg18 0.7500 0.5223 0.0603  4 Si 2.67-2.78
Mg19 0.2500 0.6636 0.6274  4 Si 2.72-2.78
Mg20 0.7500 0.3364 0.3726  4 Si 2.72-2.78
Si1 0.2500 0.1346 0.0205  1 Si 2.38
Si2 0.2500 0.7462 0.3823  2 Si 2.38-2.42
Si3 0.2500 0.4214 0.3099  5 Mg 2.70-2.78
Si4 0.7500 0.0786 0.8099  5 Mg 2.70-2.78
Si5 0.7500 0.2538 0.6177  2 Si 2.38-2.42
Si6 0.2500 0.4075 0.0762  1 Si 2.42, 1 Mg 2.67
Si7 0.7500 0.8654 0.9795  1 Si 2.38
Si8 0.7500 0.7538 0.8823  2 Si 2.38-2.42
Si9 0.2500 0.9075 0.4238  1 Si 2.42, 1 Mg 2.67
Si10 0.7500 0.5786 0.6901  5 Mg 2.70-2.78
Si11 0.7500 0.0925 0.5762  1 Si 2.42, 1 Mg 2.67
Si12 0.2500 0.9214 0.1901  5 Mg 2.70-2.78
Si13 0.7500 0.3654 0.5205  1 Si 2.38
Si14 0.7500 0.5925 0.9238  1 Si 2.42, 1 Mg 2.67
Si15 0.2500 0.8499 0.6725  6 Mg 2.72-2.78
Si16 0.2500 0.3499 0.8275  6 Mg 2.72-2.78
Si17 0.2500 0.6346 0.4795  1 Si 2.38
Si18 0.7500 0.1501 0.3275  6 Mg 2.72-2.78
Si19 0.7500 0.6501 0.1725  6 Mg 2.72-2.78
Si20 0.2500 0.2462 0.1177  2 Si 2.38-2.42
Eu1 0.2500 0.2085 0.4873  6 Si 3.21-3.31, 6 Mg 3.45-3.57
Eu2 0.2500 0.9117 0.8456  7 Si 3.24-3.36, 3 Mg 3.61-3.62
Eu3 0.7500 0.7915 0.5127  6 Si 3.21-3.31, 6 Mg 3.45-3.57
Eu4 0.7500 0.3643 0.1930  6 Si 3.11-3.18, 6 Mg 3.24-3.32
Eu5 0.7500 0.5883 0.3456  7 Si 3.24-3.36, 3 Mg 3.61-3.62
Eu6 0.7500 0.8643 0.3070  6 Si 3.11-3.18, 6 Mg 3.24-3.32
Eu7 0.2500 0.1357 0.6930  6 Si 3.11-3.18, 6 Mg 3.24-3.32
Eu8 0.2500 0.6357 0.8070  6 Si 3.11-3.18, 6 Mg 3.24-3.32
Eu9 0.2500 0.4117 0.6544  7 Si 3.24-3.36, 3 Mg 3.61-3.62
Eu10 0.7500 0.0883 0.1544  7 Si 3.24-3.36, 3 Mg 3.61-3.62
Eu11 0.7500 0.2915 0.9873  6 Si 3.21-3.31, 6 Mg 3.45-3.57
Eu12 0.2500 0.7085 0.0127  6 Si 3.21-3.31, 6 Mg 3.45-3.57

Properties
The calculation puts the calculated volume at 1153 Å³/cell. Its total energy is -284.7 eV per cell.

---

Here is an optimized crystal structure of EuMgSi from Alexandria via LeMat-Bulk. Energies are from PBE.

Lattice parameters (Å, degrees): 4.8264 4.8264 4.8264 60.00 60.00 60.00
Last column: nearest neighbours and their distance in Å.
Fractional coordinates of all 3 atoms:
Mg1 0.5000 0.5000 0.5000  4 Si 2.96
Eu1 0.0000 0.0000 0.0000  4 Si 2.96
Si1 0.2500 0.2500 0.2500  4 Mg 2.96, 4 Eu 2.96

Properties
The calculation puts the calculated volume at 79 Å³/cell. Its total energy is -18.3 eV per cell.

---

Here is an optimized crystal structure of EuMgSi from Alexandria via LeMat-Bulk. Energies are from PBE.

Lattice parameters (Å, degrees): 3.4319 3.4319 6.5746 105.13 105.13 90.00
Last column: nearest neighbours and their distance in Å.
Fractional coordinates of all 3 atoms:
Si1 0.9364 0.9364 0.8728  4 Mg 2.85, 4 Eu 3.14
Eu1 0.5999 0.5999 0.1998  4 Si 3.14, 4 Eu 3.43, 1 Mg 3.50
Mg1 0.3137 0.3137 0.6274  4 Si 2.85

Properties
The calculation puts the calculated volume at 72 Å³/cell. Its total energy is -17.7 eV per cell.

---

Here is an optimized crystal structure of SmEuMg2 from Alexandria via LeMat-Bulk. Energies are from PBE.

Lattice parameters (Å, degrees): 5.5479 5.5479 5.5479 60.00 60.00 60.00
Last column: nearest neighbours and their distance in Å.
Fractional coordinates of all 4 atoms:
Mg1 0.2500 0.2500 0.2500  4 Sm 3.40, 4 Eu 3.40
Mg2 0.7500 0.7500 0.7500  4 Eu 3.40, 4 Sm 3.40
Eu1 0.0000 0.0000 0.0000  8 Mg 3.40
Sm1 0.5000 0.5000 0.5000  8 Mg 3.40

Properties
The calculation puts the calculated volume at 121 Å³/cell. The calculation puts the energy above the lowest structure with this stoichiometry at 0.017 eV/atom. For the formation energy, the calculation gives -0.0687 eV per atom. Its total energy is -18.5 eV per cell.

---

Here is an optimized crystal structure of SmEuMg2 from Alexandria via LeMat-Bulk. Energies are from PBE.

Lattice parameters (Å, degrees): 3.9285 3.9285 7.8518 90.00 90.00 90.00
Last column: nearest neighbours and their distance in Å.
Fractional coordinates of all 4 atoms:
Mg1 0.0000 0.0000 0.7661  4 Sm 3.33, 4 Eu 3.48, 1 Mg 3.67
Mg2 0.0000 0.0000 0.2339  4 Sm 3.33, 4 Eu 3.48, 1 Mg 3.67
Eu1 0.5000 0.5000 0.5000  8 Mg 3.48
Sm1 0.5000 0.5000 0.0000  8 Mg 3.33

Properties
The calculation puts the calculated volume at 121 Å³/cell. The calculation puts the energy above the lowest structure with this stoichiometry at 0.000 eV/atom. For the formation energy, the calculation gives -0.0861 eV per atom. Its total energy is -18.5 eV per cell.

---

Here is an optimized crystal structure of SmEuMg4 from Alexandria via LeMat-Bulk. Energies are from PBE.

Lattice parameters (Å, degrees): 6.1771 6.1771 6.1771 60.00 60.00 60.00
Last column: nearest neighbours and their distance in Å.
Fractional coordinates of all 6 atoms:
Eu1 0.0000 0.0000 0.0000  12 Mg 3.62, 4 Sm 3.78
Mg1 0.6243 0.6243 0.1272  6 Mg 3.07-3.11
Mg2 0.6243 0.6243 0.6243  6 Mg 3.07-3.11
Mg3 0.6243 0.1272 0.6243  6 Mg 3.07-3.11
Mg4 0.1272 0.6243 0.6243  6 Mg 3.07-3.11
Sm1 0.2500 0.2500 0.2500  12 Mg 3.62, 4 Eu 3.78

Properties
The calculation puts the calculated volume at 167 Å³/cell. For the formation energy, the calculation gives -0.0924 eV per atom. Its total energy is -21.9 eV per cell.

---

Here is an optimized crystal structure of SmEuMgSn from Alexandria via LeMat-Bulk. Energies are from PBE.

Lattice parameters (Å, degrees): 5.4641 5.4641 5.4641 60.00 60.00 60.00
Last column: nearest neighbours and their distance in Å.
Fractional coordinates of all 4 atoms:
Sn1 0.2500 0.2500 0.2500  4 Sm 3.35, 4 Eu 3.35
Sm1 0.5000 0.5000 0.5000  4 Sn 3.35, 4 Mg 3.35
Mg1 0.7500 0.7500 0.7500  4 Sm 3.35, 4 Eu 3.35
Eu1 0.0000 0.0000 0.0000  4 Sn 3.35, 4 Mg 3.35

Properties
The calculation puts the calculated volume at 115 Å³/cell. For the formation energy, the calculation gives -0.4165 eV per atom. Its total energy is -22.3 eV per cell.

---

Here is an optimized crystal structure of SrSmEuMg from Alexandria via LeMat-Bulk. Energies are from PBE.

Lattice parameters (Å, degrees): 5.8940 5.8940 5.8940 60.00 60.00 60.00
Last column: nearest neighbours and their distance in Å.
Fractional coordinates of all 4 atoms:
Sr1 0.5000 0.5000 0.5000  4 Mg 3.61, 4 Eu 3.61
Eu1 0.2500 0.2500 0.2500  4 Sr 3.61, 4 Sm 3.61
Mg1 0.7500 0.7500 0.7500  4 Sm 3.61, 4 Sr 3.61
Sm1 0.0000 0.0000 0.0000  4 Mg 3.61, 4 Eu 3.61

Properties
The calculation puts the calculated volume at 145 Å³/cell. For the formation energy, the calculation gives 0.1062 eV per atom. Its total energy is -17.8 eV per cell.

---

Here is an optimized crystal structure of TbSmEuMg from Alexandria via LeMat-Bulk. Energies are from PBE.

Lattice parameters (Å, degrees): 5.6326 5.6326 5.6326 60.00 60.00 60.00
Last column: nearest neighbours and their distance in Å.
Fractional coordinates of all 4 atoms:
Sm1 0.7500 0.7500 0.7500  4 Mg 3.45, 4 Eu 3.45
Eu1 0.5000 0.5000 0.5000  4 Tb 3.45, 4 Sm 3.45
Tb1 0.2500 0.2500 0.2500  4 Mg 3.45, 4 Eu 3.45
Mg1 0.0000 0.0000 0.0000  4 Tb 3.45, 4 Sm 3.45

Properties
The calculation puts the calculated volume at 126 Å³/cell. For the formation energy, the calculation gives 0.0661 eV per atom. Its total energy is -21.0 eV per cell.

---

Question: The highest calculated volume belongs to which entry?
Answer: Eu3Mg5Si5

---

Question: The lowest calculated volume belongs to which entry?
Answer: number 6

---

Repeat the fifth record exactly.
Here is an optimized crystal structure of EuMgSi from Alexandria via LeMat-Bulk. Energies are from PBE.

Lattice parameters (Å, degrees): 4.8264 4.8264 4.8264 60.00 60.00 60.00
Last column: nearest neighbours and their distance in Å.
Fractional coordinates of all 3 atoms:
Mg1 0.5000 0.5000 0.5000  4 Si 2.96
Eu1 0.0000 0.0000 0.0000  4 Si 2.96
Si1 0.2500 0.2500 0.2500  4 Mg 2.96, 4 Eu 2.96

Properties
The calculation puts the calculated volume at 79 Å³/cell. Its total energy is -18.3 eV per cell.